[1]
A plane-wave DFT calculation with PBE was carried out for crystalline Ti2NbGaAg at its relaxed geometry.

a b c (Å): 4.7270 4.7270 5.0677
angles (deg): 90.00 90.00 90.00
With the nearest neighbours (Å) after each atom.
Sites, in units of the cell vectors:
Ti (0.0000, 0.5000, 0.0000)  2 Nb 2.36
Ti (0.5000, 0.0000, 0.0000)  2 Nb 2.36
Nb (0.0000, 0.0000, 0.0000)  4 Ti 2.36, 2 Ga 2.53
Ga (0.0000, 0.0000, 0.5000)  2 Nb 2.53
Ag (0.5000, 0.5000, 0.5000)  4 Ga 3.34, 8 Ti 3.47

N(E_F)	4.55	states/eV/f.u.
calculated total energy	-0.4062	Ry/atom
total moment	0.00	μB per atom



[2]
A plane-wave DFT calculation with PBE was carried out for crystalline Dy3Y6Ho2Zr at its relaxed geometry.

a b c (Å): 6.0946 6.0946 11.6608
angles (deg): 94.97 94.97 119.91
With the nearest neighbours (Å) after each atom.
Sites, in units of the cell vectors:
Dy (0.0000, 0.0000, 0.0000)  6 Dy 3.52, 6 Y 3.56-3.59
Dy (0.3334, 0.6666, 0.0000)  6 Dy 3.52, 6 Y 3.56-3.59
Dy (0.6666, 0.3334, 0.0000)  6 Dy 3.52, 6 Y 3.56-3.59
Y (0.0915, 0.4185, 0.2554)  1 Zr 3.45, 6 Y 3.45-3.56, 2 Ho 3.48, 3 Dy 3.56-3.59
Y (0.2546, 0.2546, 0.7441)  1 Zr 3.44, 6 Y 3.45-3.56, 2 Ho 3.48, 3 Dy 3.56-3.59
Y (0.4185, 0.0915, 0.2554)  1 Zr 3.45, 6 Y 3.45-3.56, 2 Ho 3.48, 3 Dy 3.56-3.59
Y (0.5815, 0.9085, 0.7446)  1 Zr 3.45, 6 Y 3.45-3.56, 2 Ho 3.48, 3 Dy 3.56-3.59
Y (0.7454, 0.7454, 0.2559)  1 Zr 3.44, 6 Y 3.45-3.56, 2 Ho 3.48, 3 Dy 3.56-3.59
Y (0.9085, 0.5815, 0.7446)  1 Zr 3.45, 6 Y 3.45-3.56, 2 Ho 3.48, 3 Dy 3.56-3.59
Ho (0.1669, 0.8331, 0.5000)  6 Y 3.48, 3 Zr 3.52, 3 Ho 3.52
Ho (0.8331, 0.1669, 0.5000)  6 Y 3.48, 3 Zr 3.52, 3 Ho 3.52
Zr (0.5000, 0.5000, 0.5000)  6 Y 3.44-3.45, 6 Ho 3.52

N(E_F)	15.97	states/eV/f.u.
calculated total energy	-0.4270	Ry/atom
total moment	0.00	μB per atom



[3]
A plane-wave DFT calculation with PBE was carried out for crystalline Ac2ZnGe3Pt4 at its relaxed geometry.

a b c (Å): 4.4907 4.4907 10.2201
angles (deg): 90.00 90.00 90.00
With the nearest neighbours (Å) after each atom.
Sites, in units of the cell vectors:
Ac (0.0000, 0.5000, 0.2469)  6 Ge 3.38-3.44, 2 Zn 3.38, 8 Pt 3.40-3.43
Ac (0.5000, 0.0000, 0.7531)  6 Ge 3.38-3.44, 2 Zn 3.38, 8 Pt 3.40-3.43
Zn (0.5000, 0.5000, 0.0000)  4 Pt 2.59
Ge (0.0000, 0.0000, 0.0000)  4 Pt 2.59
Ge (0.0000, 0.5000, 0.6250)  5 Pt 2.53-2.58
Ge (0.5000, 0.0000, 0.3750)  5 Pt 2.53-2.58
Pt (0.0000, 0.0000, 0.5000)  4 Ge 2.58
Pt (0.0000, 0.5000, 0.8729)  3 Ge 2.53-2.59, 2 Zn 2.59
Pt (0.5000, 0.0000, 0.1271)  3 Ge 2.53-2.59, 2 Zn 2.59
Pt (0.5000, 0.5000, 0.5000)  4 Ge 2.58

N(E_F)	3.33	states/eV/f.u.
calculated total energy	-0.4174	Ry/atom
total moment	0.00	μB per atom



[4]
A plane-wave DFT calculation with PBE was carried out for crystalline CoRe2Au at its relaxed geometry.

a b c (Å): 4.8271 4.8271 4.6943
angles (deg): 100.79 100.79 32.99
With the nearest neighbours (Å) after each atom.
Sites, in units of the cell vectors:
Co (0.0000, 0.0000, 0.0000)  6 Re 2.66-2.84, 4 Au 2.72, 2 Co 2.74
Re (0.2602, 0.2602, 0.7656)  6 Re 2.63-2.82, 3 Co 2.66-2.84, 3 Au 2.75-2.84
Re (0.7398, 0.7398, 0.2344)  6 Re 2.63-2.82, 3 Co 2.66-2.84, 3 Au 2.75-2.84
Au (0.5000, 0.5000, 0.5000)  4 Co 2.72, 2 Au 2.74, 6 Re 2.75-2.84

N(E_F)	3.71	states/eV/f.u.
energy above the lowest structure with this stoichiometry	106	meV/atom
total moment	0.27	μB per atom



[5]
A plane-wave DFT calculation with PBE was carried out for crystalline Tl2In2BiPb2 at its relaxed geometry.

a b c (Å): 4.1677 4.1677 12.7250
angles (deg): 98.94 98.94 90.88
With the nearest neighbours (Å) after each atom.
Sites, in units of the cell vectors:
Tl (0.2126, 0.2126, 0.4245)  5 In 3.38-3.63, 4 Tl 3.46-3.51, 1 Pb 3.52
Tl (0.7874, 0.7874, 0.5755)  5 In 3.38-3.63, 4 Tl 3.46-3.51, 1 Pb 3.52
In (0.3603, 0.3603, 0.7167)  5 Tl 3.38-3.63, 4 Pb 3.41-3.46, 1 Bi 3.52
In (0.6397, 0.6397, 0.2833)  5 Tl 3.38-3.63, 4 Pb 3.41-3.46, 1 Bi 3.52
Bi (0.5000, 0.5000, 0.0000)  8 Pb 3.40-3.44, 2 In 3.52
Pb (0.0688, 0.0688, 0.1407)  4 Bi 3.40-3.44, 4 In 3.41-3.46, 1 Pb 3.49, 1 Tl 3.52
Pb (0.9312, 0.9312, 0.8593)  4 Bi 3.40-3.44, 4 In 3.41-3.46, 1 Pb 3.49, 1 Tl 3.52

N(E_F)	4.69	states/eV/f.u.
calculated total energy	-0.2234	Ry/atom
total moment	0.00	μB per atom



[6]
A plane-wave DFT calculation with PBE was carried out for crystalline GaCuPO2 at its relaxed geometry.

a b c (Å): 3.7023 3.7023 4.8503
angles (deg): 90.00 90.00 90.00
With the nearest neighbours (Å) after each atom.
Sites, in units of the cell vectors:
Ga (0.0000, 0.0000, 0.0000)  4 P 2.62
Cu (0.5000, 0.5000, 0.5000)  4 O 1.85
P (0.5000, 0.5000, 0.0000)  2 Cu 2.43, 4 Ga 2.62
O (0.0000, 0.5000, 0.5000)  2 Cu 1.85
O (0.5000, 0.0000, 0.5000)  2 Cu 1.85

N(E_F)	3.16	states/eV/f.u.
energy above the lowest structure with this stoichiometry	165	meV/atom
total moment	0.08	μB per atom



[7]
A plane-wave DFT calculation with PBE was carried out for crystalline CePm8Dy5 at its relaxed geometry.

a b c (Å): 8.5207 8.5207 8.5207
angles (deg): 111.81 111.81 104.89
With the nearest neighbours (Å) after each atom.
Sites, in units of the cell vectors:
Ce (0.0000, 0.0000, 0.0000)  4 Pm 3.10
Pm (0.0795, 0.3114, 0.3954)  1 Ce 3.10, 3 Dy 3.23-3.41
Pm (0.1775, 0.4241, 0.8955)  5 Dy 3.35-3.57, 3 Pm 3.62-3.70
Pm (0.3159, 0.9205, 0.2319)  1 Ce 3.10, 3 Dy 3.23-3.41
Pm (0.5287, 0.2821, 0.1045)  5 Dy 3.35-3.57, 3 Pm 3.62-3.70
Pm (0.5759, 0.4713, 0.7534)  5 Dy 3.35-3.57, 3 Pm 3.62-3.70
Pm (0.6886, 0.0840, 0.7681)  1 Ce 3.10, 3 Dy 3.23-3.41
Pm (0.7179, 0.8225, 0.2466)  5 Dy 3.35-3.57, 3 Pm 3.62-3.70
Pm (0.9160, 0.6841, 0.6046)  1 Ce 3.10, 3 Dy 3.23-3.41
Dy (0.2132, 0.0288, 0.5969)  8 Pm 3.39-3.62, 2 Dy 3.50
Dy (0.3837, 0.7868, 0.8157)  8 Pm 3.39-3.62, 2 Dy 3.50
Dy (0.4320, 0.6163, 0.4031)  8 Pm 3.39-3.62, 2 Dy 3.50
Dy (0.7500, 0.2500, 0.5000)  8 Pm 3.23-3.35
Dy (0.9712, 0.5680, 0.1843)  8 Pm 3.39-3.62, 2 Dy 3.50

N(E_F)	25.98	states/eV/f.u.
calculated total energy	-0.3327	Ry/atom
total moment	0.09	μB per atom



[8]
A plane-wave DFT calculation with PBE was carried out for crystalline Be17AlV at its relaxed geometry.

a b c (Å): 5.5173 5.5173 5.5173
angles (deg): 82.48 82.48 82.48
With the nearest neighbours (Å) after each atom.
Sites, in units of the cell vectors:
Be (0.0014, 0.4993, 0.4993)  9 Be 2.07-2.23
Be (0.0576, 0.0576, 0.0576)  7 Be 2.17-2.31
Be (0.1576, 0.4608, 0.8549)  8 Be 2.08-2.22
Be (0.1576, 0.8549, 0.4608)  8 Be 2.08-2.22
Be (0.1656, 0.1656, 0.6545)  10 Be 2.07-2.25
Be (0.1656, 0.6545, 0.1656)  10 Be 2.07-2.25
Be (0.2602, 0.2602, 0.2602)  7 Be 2.17-2.23
Be (0.3230, 0.8099, 0.8099)  9 Be 2.09-2.31
Be (0.4608, 0.1576, 0.8549)  8 Be 2.08-2.22
Be (0.4608, 0.8549, 0.1576)  8 Be 2.08-2.22
Be (0.4993, 0.0014, 0.4993)  9 Be 2.07-2.23
Be (0.4993, 0.4993, 0.0014)  9 Be 2.07-2.23
Be (0.6545, 0.1656, 0.1656)  10 Be 2.07-2.25
Be (0.8099, 0.3230, 0.8099)  9 Be 2.09-2.31
Be (0.8099, 0.8099, 0.3230)  9 Be 2.09-2.31
Be (0.8549, 0.1576, 0.4608)  8 Be 2.08-2.22
Be (0.8549, 0.4608, 0.1576)  8 Be 2.08-2.22
Al (0.7940, 0.7940, 0.7940)  12 Be 2.51-2.58
V (0.4917, 0.4917, 0.4917)  16 Be 2.48-2.70

N(E_F)	4.93	states/eV/f.u.
calculated total energy	-0.2983	Ry/atom
total moment	0.00	μB per atom